Record 1
CsK2Al, optimized geometry, DFT PBE-GGA; symmetry = P1; distance to the lowest polymorph of the same formula = 0.009 eV/atom; uncorrected energy = -1.512 eV/atom; E_form = 0.185 eV/atom; M_tot = 0.00 μB per cell
1.0
7.2289 0.0000 0.0000
1.4329 7.3225 0.0000
2.3879 -0.0458 9.4630
Cs K Al
2 4 2
Direct
0.0000 0.0000 0.0000 Cs
0.2336 0.0022 0.4174 Cs
0.3320 0.4505 0.6432 K
0.4182 0.4525 0.0418 K
0.6877 0.8829 0.7179 K
0.8307 0.5169 0.3278 K
0.8304 0.3775 0.7161 Al
0.9121 0.5069 0.9280 Al

***

Record 2
YRuW2, optimized geometry, DFT PBE-GGA; symmetry = C2/m; distance to the lowest polymorph of the same formula = 0.222 eV/atom; uncorrected energy = -10.017 eV/atom; E_form = 0.395 eV/atom; M_tot = 0.00 μB per cell
1.0
2.7190 -4.7514 0.0000
2.7190 4.7514 0.0000
-0.9213 0.0000 2.7150
Y Ru W
1 1 2
Direct
0.0000 0.0000 0.0000 Y
0.5000 0.5000 0.0000 Ru
0.0000 0.5000 0.5000 W
0.5000 0.0000 0.5000 W

***

Record 3
KLiPb2Br6, optimized geometry, DFT PBE-GGA; symmetry = R3; uncorrected energy = -3.234 eV/atom; E_form (uncorrected) = -1.19 eV per atom; M_tot = 0.00 μB per cell
1.0
3.8390 2.2165 6.8984
-3.8390 2.2165 6.8984
0.0000 -4.4329 6.8984
K Li Pb Br
1 1 2 6
Direct
0.0000 0.0000 0.0000 K
0.4825 0.4825 0.4825 Li
0.2913 0.2913 0.2913 Pb
0.8019 0.8019 0.8019 Pb
0.1007 0.6665 0.4235 Br
0.2253 0.5746 0.8689 Br
0.4235 0.1007 0.6665 Br
0.5746 0.8689 0.2253 Br
0.6665 0.4235 0.1007 Br
0.8689 0.2253 0.5746 Br

***

Look up the M_tot of the third one.
0.00 μB per cell

***

Among the records above, which one has the lowest uncorrected energy?
YRuW2